No. 1
Compound: PrZrCd
Source: the Open Quantum Materials Database
Functional: PBE-GGA
Structure: optimized geometry

Calculated values
* energy relative to the elements: 1.912 eV/f.u.
* magnetization: 4.83 μB per cell
* energy above the lowest structure with this stoichiometry: 0 meV per atom

a b c (Å): 7.0848 7.0848 7.0848
angles (deg): 90.00 90.00 90.00
Space group F-43m (No. 216)
Inequivalent atoms, fractional coordinates:
Pr 0.0000 0.0000 0.0000 (multiplicity 4)
Zr 0.2500 0.2500 0.7500 (multiplicity 4)
Cd 0.0000 0.0000 0.5000 (multiplicity 4)

No. 2
Compound: Cd8Pt3
Source: the Open Quantum Materials Database
Functional: PBE-GGA
Structure: optimized geometry

Calculated values
* energy relative to the elements: -2.687 eV/f.u.
* magnetization: 0.01 μB per cell

a b c (Å): 7.9990 8.0519 8.1447
angles (deg): 70.64 78.12 61.50
Space group P-1 (No. 2)
Inequivalent atoms, fractional coordinates:
Cd 0.0045 0.1001 0.1407 (multiplicity 2)
Cd 0.0340 0.6208 0.6049 (multiplicity 2)
Cd 0.1276 0.6468 0.1933 (multiplicity 2)
Cd 0.3123 0.9830 0.6200 (multiplicity 2)
Cd 0.3176 0.2236 0.8322 (multiplicity 2)
Cd 0.3213 0.1757 0.2029 (multiplicity 2)
Cd 0.3471 0.7186 0.3910 (multiplicity 2)
Cd 0.3928 0.5614 0.8346 (multiplicity 2)
Pt 0.0000 0.0000 0.5000 (multiplicity 1)
Pt 0.0000 0.5000 0.0000 (multiplicity 1)
Pt 0.3427 0.3371 0.4566 (multiplicity 2)
Pt 0.3499 0.8391 0.0065 (multiplicity 2)

No. 3
Compound: CdPt15
Source: the Open Quantum Materials Database
Functional: PBE-GGA
Structure: optimized geometry

Calculated values
* energy relative to the elements: 1.118 eV/f.u.
* magnetization: 0.46 μB per cell
* energy above the lowest structure with this stoichiometry: 48 meV per atom

a b c (Å): 7.9102 2.7897 36.6439
angles (deg): 90.00 90.08 90.00
Space group P2_1/m (No. 11)
Inequivalent atoms, fractional coordinates:
Cd 0.1251 0.2500 0.2967 (multiplicity 2)
Pt 0.1179 0.2500 0.7459 (multiplicity 2)
Pt 0.1175 0.2500 0.8258 (multiplicity 2)
Pt 0.1236 0.2500 0.9035 (multiplicity 2)
Pt 0.1255 0.2500 0.1347 (multiplicity 2)
Pt 0.1246 0.2500 0.2150 (multiplicity 2)
Pt 0.1263 0.2500 0.0570 (multiplicity 2)
Pt 0.1265 0.2500 0.9803 (multiplicity 2)
Pt 0.3674 0.7500 0.1746 (multiplicity 2)
Pt 0.3675 0.7500 0.2541 (multiplicity 2)
Pt 0.3736 0.7500 0.0968 (multiplicity 2)
Pt 0.3751 0.7500 0.7160 (multiplicity 2)
Pt 0.3745 0.7500 0.7900 (multiplicity 2)
Pt 0.3753 0.7500 0.8641 (multiplicity 2)
Pt 0.3763 0.7500 0.0189 (multiplicity 2)
Pt 0.3762 0.7500 0.9409 (multiplicity 2)

No. 4
Compound: CdPt124
Source: the Open Quantum Materials Database
Functional: PBE-GGA
Structure: optimized geometry

Calculated values
* energy relative to the elements: -0.954 eV/f.u.
* magnetization: 0.32 μB per cell

a b c (Å): 19.8883 19.8883 19.8883
angles (deg): 90.00 90.00 90.00
Space group Fm-3m (No. 225)
Inequivalent atoms, fractional coordinates:
Cd 0.0000 0.0000 0.0000 (multiplicity 4)
Pt 0.0000 0.0000 0.1997 (multiplicity 24)
Pt 0.0000 0.0000 0.3999 (multiplicity 24)
Pt 0.0000 0.1000 0.2999 (multiplicity 96)
Pt 0.0000 0.1006 0.1006 (multiplicity 48)
Pt 0.0000 0.2006 0.2006 (multiplicity 48)
Pt 0.1000 0.1000 0.2000 (multiplicity 96)
Pt 0.1000 0.1000 0.4000 (multiplicity 32)
Pt 0.1001 0.1999 0.3001 (multiplicity 96)
Pt 0.1999 0.1999 0.1999 (multiplicity 32)

No. 5
Compound: CdPt15
Source: the Open Quantum Materials Database
Functional: PBE-GGA
Structure: optimized geometry

Calculated values
* energy relative to the elements: 0.348 eV/f.u.
* magnetization: 0.15 μB per cell
* energy above the lowest structure with this stoichiometry: 0 meV per atom

a b c (Å): 3.9531 3.9510 45.5286
angles (deg): 90.00 90.00 90.00
Space group Pmma (No. 51)
Inequivalent atoms, fractional coordinates:
Cd 0.2500 0.0000 0.1620 (multiplicity 2)
Pt 0.2500 0.0000 0.2583 (multiplicity 2)
Pt 0.2500 0.0000 0.3454 (multiplicity 2)
Pt 0.2500 0.0000 0.4339 (multiplicity 2)
Pt 0.2500 0.0000 0.5220 (multiplicity 2)
Pt 0.2500 0.0000 0.6104 (multiplicity 2)
Pt 0.2500 0.0000 0.6983 (multiplicity 2)
Pt 0.2500 0.0000 0.7862 (multiplicity 2)
Pt 0.2500 0.5000 0.2138 (multiplicity 2)
Pt 0.2500 0.5000 0.3017 (multiplicity 2)
Pt 0.2500 0.5000 0.3896 (multiplicity 2)
Pt 0.2500 0.5000 0.4779 (multiplicity 2)
Pt 0.2500 0.5000 0.5663 (multiplicity 2)
Pt 0.2500 0.5000 0.6543 (multiplicity 2)
Pt 0.2500 0.5000 0.7427 (multiplicity 2)
Pt 0.2500 0.5000 0.8278 (multiplicity 2)

No. 6
Compound: CdPt2
Source: the Open Quantum Materials Database
Functional: PBE-GGA
Structure: optimized geometry

Calculated values
* energy relative to the elements: 6.603 eV/f.u.
* magnetization: 0.01 μB per cell

a b c (Å): 11.8967 11.8967 11.8967
angles (deg): 90.00 90.00 90.00
Space group Fd-3m (No. 227, origin choice 2)
Inequivalent atoms, fractional coordinates:
Cd 0.1250 0.1250 0.1250 (multiplicity 8)
Pt 0.0000 0.0000 0.0000 (multiplicity 16)

No. 7
Compound: CdPt15
Source: the Open Quantum Materials Database
Functional: PBE-GGA
Structure: optimized geometry

Calculated values
* energy relative to the elements: 0.953 eV/f.u.
* magnetization: 0.07 μB per cell
* energy above the lowest structure with this stoichiometry: 38 meV per atom

a b c (Å): 4.8218 36.8557 4.8228
angles (deg): 90.00 109.50 90.00
Space group P2/c (No. 13)
Inequivalent atoms, fractional coordinates:
Cd 0.0000 0.2032 0.2500 (multiplicity 2)
Pt 0.0000 0.2470 0.7500 (multiplicity 2)
Pt 0.0000 0.2868 0.2500 (multiplicity 2)
Pt 0.0000 0.3260 0.7500 (multiplicity 2)
Pt 0.0000 0.3651 0.2500 (multiplicity 2)
Pt 0.0000 0.4035 0.7500 (multiplicity 2)
Pt 0.0000 0.4422 0.2500 (multiplicity 2)
Pt 0.0000 0.4808 0.7500 (multiplicity 2)
Pt 0.5000 0.2139 0.7500 (multiplicity 2)
Pt 0.5000 0.2470 0.2500 (multiplicity 2)
Pt 0.5000 0.2882 0.7500 (multiplicity 2)
Pt 0.5000 0.3260 0.2500 (multiplicity 2)
Pt 0.5000 0.3646 0.7500 (multiplicity 2)
Pt 0.5000 0.4035 0.2500 (multiplicity 2)
Pt 0.5000 0.4418 0.7500 (multiplicity 2)
Pt 0.5000 0.4808 0.2500 (multiplicity 2)

No. 8
Compound: Cd2Pt7
Source: the Open Quantum Materials Database
Functional: PBE-GGA
Structure: optimized geometry

Calculated values
* energy relative to the elements: 0.136 eV/f.u.
* magnetization: 0.04 μB per cell

a b c (Å): 2.8316 2.8316 33.4210
angles (deg): 90.00 90.00 120.00
Space group P-3m1 (No. 164)
Inequivalent atoms, fractional coordinates:
Cd 0.3333 0.6667 0.2217 (multiplicity 2)
Pt 0.0000 0.0000 0.2949 (multiplicity 2)
Pt 0.0000 0.0000 0.5000 (multiplicity 1)
Pt 0.3333 0.6667 0.4325 (multiplicity 2)
Pt 0.3333 0.6667 0.6357 (multiplicity 2)

No. 9
Compound: CdPt9
Source: the Open Quantum Materials Database
Functional: PBE-GGA
Structure: optimized geometry

Calculated values
* energy relative to the elements: 0.005 eV/f.u.
* magnetization: 0.00 μB per cell
* energy above the lowest structure with this stoichiometry: 0 meV per atom

a b c (Å): 2.8249 3.9204 42.1400
angles (deg): 90.00 90.00 90.00
Space group Pmmn (No. 59, origin choice 2)
Inequivalent atoms, fractional coordinates:
Cd 0.2500 0.2500 0.1777 (multiplicity 2)
Pt 0.2500 0.2500 0.2475 (multiplicity 2)
Pt 0.2500 0.2500 0.3155 (multiplicity 2)
Pt 0.2500 0.2500 0.3828 (multiplicity 2)
Pt 0.2500 0.2500 0.4497 (multiplicity 2)
Pt 0.2500 0.2500 0.5167 (multiplicity 2)
Pt 0.2500 0.2500 0.5837 (multiplicity 2)
Pt 0.2500 0.2500 0.6509 (multiplicity 2)
Pt 0.2500 0.2500 0.7187 (multiplicity 2)
Pt 0.2500 0.2500 0.7875 (multiplicity 2)

No. 10
Compound: CdPt9
Source: the Open Quantum Materials Database
Functional: PBE-GGA
Structure: optimized geometry

Calculated values
* energy relative to the elements: 0.059 eV/f.u.
* magnetization: 0.01 μB per cell
* energy above the lowest structure with this stoichiometry: 5 meV per atom

a b c (Å): 2.8216 2.8216 52.5685
angles (deg): 90.00 90.00 90.00
Space group P4/nmm (No. 129, origin choice 2)
Inequivalent atoms, fractional coordinates:
Cd 0.2500 0.2500 0.1399 (multiplicity 2)
Pt 0.2500 0.2500 0.2184 (multiplicity 2)
Pt 0.2500 0.2500 0.2937 (multiplicity 2)
Pt 0.2500 0.2500 0.3688 (multiplicity 2)
Pt 0.2500 0.2500 0.4439 (multiplicity 2)
Pt 0.2500 0.2500 0.5187 (multiplicity 2)
Pt 0.2500 0.2500 0.5937 (multiplicity 2)
Pt 0.2500 0.2500 0.6688 (multiplicity 2)
Pt 0.2500 0.2500 0.7438 (multiplicity 2)
Pt 0.2500 0.2500 0.8201 (multiplicity 2)

No. 11
Compound: CdPt2
Source: the Open Quantum Materials Database
Functional: PBE-GGA
Structure: optimized geometry

Calculated values
* energy relative to the elements: -0.516 eV/f.u.
* magnetization: 0.01 μB per cell

a b c (Å): 7.5666 7.5666 7.5666
angles (deg): 90.00 90.00 90.00
Space group Fd-3m (No. 227, origin choice 2)
Inequivalent atoms, fractional coordinates:
Cd 0.1250 0.1250 0.1250 (multiplicity 8)
Pt 0.0000 0.0000 0.5000 (multiplicity 16)

No. 12
Compound: CdPt7
Source: the Open Quantum Materials Database
Functional: PBE-GGA
Structure: optimized geometry

Calculated values
* energy relative to the elements: 0.056 eV/f.u.
* magnetization: 0.06 μB per cell
* energy above the lowest structure with this stoichiometry: 120 meV per atom

a b c (Å): 2.8270 2.8270 44.7383
angles (deg): 90.00 90.00 90.00
Space group P4/nmm (No. 129, origin choice 2)
Inequivalent atoms, fractional coordinates:
Cd 0.2500 0.2500 0.1663 (multiplicity 2)
Pt 0.2500 0.2500 0.2582 (multiplicity 2)
Pt 0.2500 0.2500 0.3456 (multiplicity 2)
Pt 0.2500 0.2500 0.4338 (multiplicity 2)
Pt 0.2500 0.2500 0.5221 (multiplicity 2)
Pt 0.2500 0.2500 0.6104 (multiplicity 2)
Pt 0.2500 0.2500 0.6981 (multiplicity 2)
Pt 0.2500 0.2500 0.7868 (multiplicity 2)

No. 13
Compound: CdPt7
Source: the Open Quantum Materials Database
Functional: PBE-GGA
Structure: optimized geometry

Calculated values
* energy relative to the elements: 0.010 eV/f.u.
* magnetization: 0.04 μB per cell
* energy above the lowest structure with this stoichiometry: 114 meV per atom

a b c (Å): 2.8247 3.9309 36.0959
angles (deg): 90.00 90.00 90.00
Space group Pmmn (No. 59, origin choice 2)
Inequivalent atoms, fractional coordinates:
Cd 0.2500 0.2500 0.2038 (multiplicity 2)
Pt 0.2500 0.2500 0.2852 (multiplicity 2)
Pt 0.2500 0.2500 0.3639 (multiplicity 2)
Pt 0.2500 0.2500 0.4418 (multiplicity 2)
Pt 0.2500 0.2500 0.5193 (multiplicity 2)
Pt 0.2500 0.2500 0.5972 (multiplicity 2)
Pt 0.2500 0.2500 0.6757 (multiplicity 2)
Pt 0.2500 0.2500 0.7557 (multiplicity 2)

Number 1: final energy -49.22 eV/cell. Number 2: final energy -56.04 eV/cell. Number 3: final energy -181.23 eV/cell. Number 4: final energy -3011.06 eV/cell. Number 5: final energy -182.77 eV/cell. Number 6: final energy -51.23 eV/cell. Number 7: final energy -181.56 eV/cell. Number 8: final energy -44.05 eV/cell. Number 9: final energy -110.78 eV/cell. Number 10: final energy -110.68 eV/cell. Number 11: final energy -108.18 eV/cell. Number 12: final energy -86.46 eV/cell. Number 13: final energy -86.55 eV/cell.